# 1
Cr3Cd, relaxed, DFT PBE; energy above the lowest structure with this stoichiometry = 135.6 meV per atom; formation energy from the elements = 1.822 eV per formula unit; symmetry = P6_3/mmc; spin magnetization = 0.00 μB per cell; density of states at the Fermi level = 3.89 states/eV/f.u.
1.0
2.6488 4.8339 0.7979
-5.4169 -0.4412 1.2173
0.9834 -1.1899 3.9445
Cr Cd
6 2
Direct
0.8601 0.1399 0.2500
0.1399 0.8601 0.7500
0.8601 0.7202 0.2500
0.1399 0.2798 0.7500
0.2798 0.1399 0.2500
0.7202 0.8601 0.7500
0.3333 0.6667 0.2500
0.6667 0.3333 0.7500

=====

# 2
Cr3Cd, relaxed, DFT PBE; energy above the lowest structure with this stoichiometry = 305.2 meV per atom; formation energy from the elements = 2.500 eV per formula unit; symmetry = Pnma; spin magnetization = 0.00 μB per cell; density of states at the Fermi level = 4.04 states/eV/f.u.
1.0
4.7247 0.0000 0.0000
0.0000 8.7770 0.0000
0.0000 0.0000 5.4346
Cr Cd
12 4
Direct
0.9868 0.2500 0.8458
0.2969 0.9829 0.4006
0.2969 0.5171 0.4006
0.2031 0.4829 0.9006
0.2031 0.0171 0.9006
0.5132 0.7500 0.3458
0.4868 0.2500 0.6542
0.7969 0.9829 0.0994
0.7969 0.5171 0.0994
0.7031 0.4829 0.5994
0.7031 0.0171 0.5994
0.0132 0.7500 0.1542
0.0154 0.7500 0.6369
0.4846 0.2500 0.1369
0.5154 0.7500 0.8631
0.9846 0.2500 0.3631

=====

# 3
Cr3Cd, relaxed, DFT PBE; energy above the lowest structure with this stoichiometry = 233.0 meV per atom; formation energy from the elements = 2.212 eV per formula unit; symmetry = Pmmn; spin magnetization = 0.00 μB per cell; density of states at the Fermi level = 3.72 states/eV/f.u.
1.0
-4.2048 0.1860 -0.1000
-0.1693 -1.1723 4.9405
0.1996 5.1759 1.2350
Cr Cd
6 2
Direct
0.5000 0.7480 0.0000
0.0000 0.8701 0.2229
0.5000 0.1299 0.2771
0.0000 0.2520 0.5000
0.0000 0.8701 0.7771
0.5000 0.1299 0.7229
0.0000 0.3724 0.0000
0.5000 0.6276 0.5000

=====

# 4
CrCd2, relaxed, DFT PBE; formation energy from the elements = 0.972 eV per formula unit; symmetry = C2/m; spin magnetization = 7.91 μB per cell; density of states at the Fermi level = 1.13 states/eV/f.u.
1.0
-2.9136 -0.3237 5.0031
0.0221 -0.9664 5.7176
0.6718 6.4157 3.0101
Cr Cd
2 4
Direct
0.5254 0.5254 0.2022
0.4746 0.4746 0.7978
0.1808 0.1808 0.8753
0.8192 0.8192 0.1247
0.1383 0.1383 0.4628
0.8617 0.8617 0.5372

=====

# 5
Cr4Cd, relaxed, DFT PBE; energy above the lowest structure with this stoichiometry = 0.0 meV per atom; formation energy from the elements = 2.667 eV per formula unit; symmetry = I4/m; spin magnetization = 0.00 μB per cell; density of states at the Fermi level = 3.76 states/eV/f.u.
1.0
-2.8024 2.8024 2.1179
2.8024 -2.8024 2.1179
2.8024 2.8024 -2.1179
Cr Cd
4 1
Direct
0.8031 0.5648 0.3679
0.1969 0.4352 0.6321
0.5648 0.1969 0.7617
0.4352 0.8031 0.2383
0.0000 0.0000 0.0000

=====

# 6
Cr7Cd, relaxed, DFT PBE; formation energy from the elements = 4.458 eV per formula unit; symmetry = Fm-3m; spin magnetization = 0.00 μB per cell; density of states at the Fermi level = 10.17 states/eV/f.u.
1.0
1.8020 -4.7670 -1.2152
-3.3276 -4.0210 -0.4545
-0.9980 -2.0542 -4.7151
Cr Cd
7 1
Direct
0.5000 0.0000 0.0000
0.0000 0.0000 0.5000
0.5000 0.0000 0.5000
0.0000 0.5000 0.0000
0.5000 0.5000 0.0000
0.0000 0.5000 0.5000
0.5000 0.5000 0.5000
0.0000 0.0000 0.0000

=====

# 7
Cr3Cd, relaxed, DFT PBE; energy above the lowest structure with this stoichiometry = 272.0 meV per atom; formation energy from the elements = 2.368 eV per formula unit; symmetry = Pm-3n; spin magnetization = 0.00 μB per cell; density of states at the Fermi level = 2.95 states/eV/f.u.
1.0
-2.4054 -4.1054 0.3468
2.0459 -1.5388 -4.0258
3.5762 -1.8811 2.5364
Cr Cd
6 2
Direct
0.0000 0.2500 0.5000
0.0000 0.7500 0.5000
0.2500 0.5000 0.0000
0.5000 0.0000 0.2500
0.5000 0.0000 0.7500
0.7500 0.5000 0.0000
0.0000 0.0000 0.0000
0.5000 0.5000 0.5000

=====

# 8
Cr4Cd, relaxed, DFT PBE; energy above the lowest structure with this stoichiometry = 1391.1 meV per atom; formation energy from the elements = 9.623 eV per formula unit; symmetry = Pm-3m; spin magnetization = 18.25 μB per cell; density of states at the Fermi level = 3.58 states/eV/f.u.
1.0
5.0943 0.0000 0.0000
0.0000 5.0943 0.0000
0.0000 0.0000 5.0943
Cr Cd
4 1
Direct
0.0000 0.0000 0.0000
0.5000 0.0000 0.5000
0.0000 0.5000 0.5000
0.5000 0.5000 0.0000
0.5000 0.5000 0.5000

=====

# 9
Cr3Cd, relaxed, DFT PBE; energy above the lowest structure with this stoichiometry = 246.9 meV per atom; formation energy from the elements = 2.268 eV per formula unit; symmetry = P6_3/mmc; spin magnetization = 0.00 μB per cell; density of states at the Fermi level = 3.73 states/eV/f.u.
1.0
5.4509 0.0000 0.0000
-2.7254 4.7206 0.0000
0.0000 0.0000 8.6179
Cr Cd
12 4
Direct
0.0000 0.5000 0.0000
0.0000 0.5000 0.5000
0.1930 0.3860 0.7500
0.1930 0.8070 0.7500
0.3860 0.1930 0.2500
0.5000 0.0000 0.0000
0.5000 0.0000 0.5000
0.5000 0.5000 0.0000
0.5000 0.5000 0.5000
0.6140 0.8070 0.7500
0.8070 0.1930 0.2500
0.8070 0.6140 0.2500
0.0000 0.0000 0.0000
0.0000 0.0000 0.5000
0.3333 0.6667 0.2500
0.6667 0.3333 0.7500

=====

# 10
Cr3Cd5, relaxed, DFT PBE; formation energy from the elements = 3.881 eV per formula unit; symmetry = P6_3/mcm; spin magnetization = 25.08 μB per cell; density of states at the Fermi level = 6.22 states/eV/f.u.
1.0
8.3345 -0.0001 0.0000
-4.1674 7.2178 0.0000
0.0000 0.0000 5.4950
Cr Cd
6 10
Direct
0.3977 0.3977 0.7500
0.6023 0.6023 0.2500
0.0000 0.6023 0.7500
0.3977 0.0000 0.2500
0.0000 0.3976 0.2500
0.6023 0.0000 0.7500
0.2378 0.2378 0.2500
0.7622 0.7622 0.7500
0.0000 0.7622 0.2500
0.2378 0.0000 0.7500
0.6667 0.3333 0.0000
0.6667 0.3333 0.5000
0.3333 0.6667 0.0000
0.3333 0.6667 0.5000
0.0000 0.2378 0.7500
0.7622 0.0000 0.2500

=====

# 11
Cr3Cd4, relaxed, DFT PBE; formation energy from the elements = 3.552 eV per formula unit; symmetry = I4/mmm; spin magnetization = 12.57 μB per cell; density of states at the Fermi level = 3.43 states/eV/f.u.
1.0
1.7789 -10.9677 -1.8232
1.9399 -10.6291 3.1683
-4.3247 10.3806 -0.5647
Cr Cd
3 4
Direct
0.0000 0.0000 0.0000
0.7128 0.7128 0.0000
0.2872 0.2872 0.0000
0.8515 0.8515 0.0000
0.5698 0.5698 0.0000
0.4302 0.4302 0.0000
0.1485 0.1485 0.0000

=====

# 12
Cr3Cd, relaxed, DFT PBE; energy above the lowest structure with this stoichiometry = 171.5 meV per atom; formation energy from the elements = 1.966 eV per formula unit; symmetry = P4/mmm; spin magnetization = 3.61 μB per cell; density of states at the Fermi level = 1.99 states/eV/f.u.
1.0
4.4224 -0.0068 0.0000
0.0030 4.4224 0.0000
0.0000 0.0000 3.1922
Cd Cr
1 3
Direct
0.0000 0.0000 0.0000
0.0000 0.5000 0.5000
0.5000 0.0000 0.5000
0.5000 0.5000 0.0000

=====

# 13
CrCd6, relaxed, DFT PBE; formation energy from the elements = 5.279 eV per formula unit; symmetry = Im-3m; spin magnetization = 5.20 μB per cell; density of states at the Fermi level = 3.43 states/eV/f.u.
1.0
6.8866 0.0000 0.0000
-2.2955 6.4928 0.0000
-2.2955 -3.2464 5.6229
Cr Cd
1 6
Direct
0.0000 0.0000 0.0000
0.2500 0.7500 0.5000
0.5000 0.7500 0.2500
0.2500 0.5000 0.7500
0.7500 0.2500 0.5000
0.5000 0.2500 0.7500
0.7500 0.5000 0.2500

=====

# 14
Cr4Cd5, relaxed, DFT PBE; formation energy from the elements = 4.601 eV per formula unit; symmetry = I4/mmm; spin magnetization = 13.42 μB per cell; density of states at the Fermi level = 6.90 states/eV/f.u.
1.0
-4.4004 4.4004 2.1454
4.4004 -4.4004 2.1454
4.4004 4.4004 -2.1454
Cr Cd
4 5
Direct
0.6540 0.0000 0.6540
0.3460 0.0000 0.3460
0.0000 0.3460 0.3460
0.0000 0.6540 0.6540
0.0000 0.0000 0.0000
0.6710 0.3290 0.0000
0.3290 0.3290 0.6581
0.6710 0.6710 0.3419
0.3290 0.6710 0.0000

=====

# 15
Cr3Cd, relaxed, DFT PBE; energy above the lowest structure with this stoichiometry = 276.8 meV per atom; formation energy from the elements = 2.387 eV per formula unit; symmetry = Pmm2; spin magnetization = 0.00 μB per cell; density of states at the Fermi level = 4.20 states/eV/f.u.
1.0
-1.4255 0.3476 2.3236
3.3137 -1.6034 2.2728
1.8857 4.5682 0.4735
Cd Cr
1 3
Direct
0.0000 0.0000 0.0211
0.0000 0.5000 0.3941
0.5000 0.0000 0.5170
0.5000 0.5000 0.7345

=====

# 16
Cr3Cd, relaxed, DFT PBE; energy above the lowest structure with this stoichiometry = 162.9 meV per atom; formation energy from the elements = 1.932 eV per formula unit; symmetry = R-3m; spin magnetization = 2.65 μB per cell; density of states at the Fermi level = 3.22 states/eV/f.u.
1.0
-0.8979 1.6968 -2.0950
0.8577 -2.6455 -0.5832
-7.3035 -4.2499 1.6151
Cd Cr
1 3
Direct
0.0000 0.0000 0.0000
0.2364 0.7637 0.7090
0.5000 0.5000 0.5000
0.7637 0.2364 0.2910

=====

# 17
CrCd2, relaxed, DFT PBE; formation energy from the elements = 0.997 eV per formula unit; symmetry = Cmcm; spin magnetization = 7.70 μB per cell; density of states at the Fermi level = 1.47 states/eV/f.u.
1.0
1.5677 -7.6262 0.0000
1.5677 7.6262 0.0000
0.0000 0.0000 4.9035
Cr Cd
2 4
Direct
0.3920 0.6080 0.7500
0.6080 0.3920 0.2500
0.7250 0.2750 0.7500
0.9447 0.0553 0.2500
0.0553 0.9447 0.7500
0.2750 0.7250 0.2500

=====

# 18
Cr3Cd, relaxed, DFT PBE; energy above the lowest structure with this stoichiometry = 225.9 meV per atom; formation energy from the elements = 2.183 eV per formula unit; symmetry = Immm; spin magnetization = 0.01 μB per cell; density of states at the Fermi level = 3.33 states/eV/f.u.
1.0
4.3488 0.0000 0.0000
0.0000 3.0072 0.0000
2.1744 1.5036 4.1822
Cd Cr
1 3
Direct
0.0000 0.0000 0.0000
0.2756 0.7756 0.4487
0.5000 0.5000 0.0000
0.7244 0.2244 0.5513

=====

# 19
CrCd2, relaxed, DFT PBE; formation energy from the elements = 1.635 eV per formula unit; symmetry = Fm-3m; spin magnetization = 17.29 μB per cell; density of states at the Fermi level = 1.96 states/eV/f.u.
1.0
-3.0906 -5.5896 -1.6080
-0.5107 -1.5530 6.3803
-5.7938 3.1185 0.2953
Cr Cd
4 8
Direct
0.0000 0.0000 0.0000
0.0000 0.5000 0.5000
0.5000 0.0000 0.5000
0.5000 0.5000 0.0000
0.2500 0.7501 0.7499
0.2500 0.7499 0.2500
0.2500 0.2500 0.7499
0.2500 0.2500 0.2500
0.7501 0.7501 0.7501
0.7501 0.7499 0.2500
0.7499 0.2500 0.7501
0.7499 0.2500 0.2500

=====

# 20
CrCd2, relaxed, DFT PBE; formation energy from the elements = 1.084 eV per formula unit; symmetry = I4_1/amd; spin magnetization = 7.90 μB per cell; density of states at the Fermi level = 1.36 states/eV/f.u.
1.0
-1.5265 1.5265 13.2680
1.5265 -1.5265 13.2680
1.5265 1.5265 -13.2680
Cr Cd
2 4
Direct
0.0000 0.0000 0.0000
0.7500 0.2500 0.5000
0.3252 0.8252 0.5000
0.1748 0.6748 0.5000
0.5752 0.5752 0.0000
0.4248 0.4248 0.0000